## a
The following is a PBE-GGA calculation of Th2HgPt after structural relaxation, from the Alexandria database.

Unit cell a=4.0520 b=4.0520 c=24.5857 alpha=90.00 beta=90.00 gamma=120.00
With the nearest neighbours (Å) after each atom.
Space group R3m (No. 160, hexagonal axes)
Symmetry-distinct sites (fractional):
1 Th 0.0000 0.0000 0.0000 (multiplicity 3)  3 Pt 2.94
2 Th 0.0000 0.0000 0.1906 (multiplicity 3)  3 Pt 2.91
3 Hg 0.0000 0.0000 0.7631 (multiplicity 3)  6 Th 3.29-3.33
4 Pt 0.0000 0.0000 0.5944 (multiplicity 3)  6 Th 2.91-2.94

Properties
* volume: 29.1 Å³ per atom

***

## b
The following is a PBE-GGA calculation of Th2HgPt after structural relaxation, from the Alexandria database.

Unit cell a=3.6805 b=3.6805 c=7.6740 alpha=90.00 beta=90.00 gamma=90.00
With the nearest neighbours (Å) after each atom.
Space group P4/mmm (No. 123)
Symmetry-distinct sites (fractional):
1 Th 0.0000 0.0000 0.2239 (multiplicity 2)  4 Pt 3.12, 4 Hg 3.36, 1 Th 3.44
2 Hg 0.5000 0.5000 0.5000 (multiplicity 1)  8 Th 3.36, 4 Hg 3.68
3 Pt 0.5000 0.5000 0.0000 (multiplicity 1)  8 Th 3.12

Properties
* volume: 26.0 Å³ per atom

***

In order of decreasing stability: b, a.